Entry 1:
# TaAsPSe2 (PBEsol, optimized geometry)
# Calculated density = 7546 kg/m3
# Total energy = -5.40 eV/atom
# Formation energy from raw total energies = 80 kJ per mole of atoms
data_TaAsPSe2
_symmetry_space_group_name_H-M 'P 4/m m m'
_symmetry_Int_Tables_number 123
_symmetry_space_group_name_Hall '-P 4 2'
_cell_length_a 4.592
_cell_length_b 4.592
_cell_length_c 4.642
_cell_angle_alpha 90.00
_cell_angle_beta 90.00
_cell_angle_gamma 90.00
loop_
_atom_site_label
_atom_site_type_symbol
_atom_site_fract_x
_atom_site_fract_y
_atom_site_fract_z
Ta1 Ta 0.000 0.000 0.000
As1 As 0.500 0.500 0.000
P1 P 0.500 0.500 0.500
Se1 Se 0.000 0.500 0.500


Entry 2:
# TiAs2PSe (PBEsol, optimized geometry)
# Calculated density = 5075 kg/m3
# Total energy = -5.11 eV/atom
# Formation energy from raw total energies = 51 kJ per mole of atoms
data_TiAs2PSe
_symmetry_space_group_name_H-M 'P 4/m m m'
_symmetry_Int_Tables_number 123
_symmetry_space_group_name_Hall '-P 4 2'
_cell_length_a 4.658
_cell_length_b 4.658
_cell_length_c 4.639
_cell_angle_alpha 90.00
_cell_angle_beta 90.00
_cell_angle_gamma 90.00
loop_
_atom_site_label
_atom_site_type_symbol
_atom_site_fract_x
_atom_site_fract_y
_atom_site_fract_z
Ti1 Ti 0.000 0.000 0.000
As1 As 0.000 0.500 0.500
P1 P 0.500 0.500 0.500
Se1 Se 0.500 0.500 0.000


Entry 3:
# ZrAs2PSe (PBEsol, optimized geometry)
# Calculated density = 4383 kg/m3
# Total energy = -5.17 eV/atom
# Formation energy from raw total energies = 59 kJ per mole of atoms
data_ZrAs2PSe
_symmetry_space_group_name_H-M 'P 4/m m m'
_symmetry_Int_Tables_number 123
_symmetry_space_group_name_Hall '-P 4 2'
_cell_length_a 5.168
_cell_length_b 5.168
_cell_length_c 4.978
_cell_angle_alpha 90.00
_cell_angle_beta 90.00
_cell_angle_gamma 90.00
loop_
_atom_site_label
_atom_site_type_symbol
_atom_site_fract_x
_atom_site_fract_y
_atom_site_fract_z
Zr1 Zr 0.000 0.000 0.000
As1 As 0.000 0.500 0.000
P1 P 0.500 0.500 0.500
Se1 Se 0.000 0.000 0.500


Entry 4:
# SnAsP2 (PBEsol, optimized geometry)
# Calculated density = 5964 kg/m3
# Total energy = -4.80 eV/atom
# Formation energy = 0.43 eV/atom
data_SnAsP2
_symmetry_space_group_name_H-M 'F m -3 m'
_symmetry_Int_Tables_number 225
_symmetry_space_group_name_Hall '-F 4 2 3'
_cell_length_a 6.578
_cell_length_b 6.578
_cell_length_c 6.578
_cell_angle_alpha 90.00
_cell_angle_beta 90.00
_cell_angle_gamma 90.00
loop_
_atom_site_label
_atom_site_type_symbol
_atom_site_fract_x
_atom_site_fract_y
_atom_site_fract_z
Sn1 Sn 0.000 0.000 0.000
As1 As 0.000 0.000 0.500
P1 P 0.250 0.250 0.250


Entry 5:
# SrAs4P (PBEsol, optimized geometry)
# Calculated density = 5562 kg/m3
# Total energy = -4.67 eV/atom
# Formation energy = 0.01 eV/atom
data_SrAs4P
_symmetry_space_group_name_H-M 'F -4 3 m'
_symmetry_Int_Tables_number 216
_symmetry_space_group_name_Hall 'F -4 2 3'
_cell_length_a 7.934
_cell_length_b 7.934
_cell_length_c 7.934
_cell_angle_alpha 90.00
_cell_angle_beta 90.00
_cell_angle_gamma 90.00
loop_
_atom_site_label
_atom_site_type_symbol
_atom_site_fract_x
_atom_site_fract_y
_atom_site_fract_z
Sr1 Sr 0.000 0.000 0.000
As1 As 0.117 0.117 0.383
P1 P 0.250 0.250 0.750


Entry 6:
# TaAsP2 (PBEsol, optimized geometry)
# Calculated density = 8929 kg/m3
# Total energy = -7.36 eV/atom
# Formation energy = -0.05 eV/atom
data_TaAsP2
_symmetry_space_group_name_H-M 'I m m 2'
_symmetry_Int_Tables_number 44
_cell_length_a 3.318
_cell_length_b 4.388
_cell_length_c 8.119
_cell_angle_alpha 90.00
_cell_angle_beta 90.00
_cell_angle_gamma 90.00
loop_
_symmetry_equiv_pos_as_xyz
'x,y,z'
'-x,-y,z'
'-x,y,z'
'x,-y,z'
'x+1/2,y+1/2,z+1/2'
'-x+1/2,-y+1/2,z+1/2'
'-x+1/2,y+1/2,z+1/2'
'x+1/2,-y+1/2,z+1/2'
loop_
_atom_site_label
_atom_site_type_symbol
_atom_site_fract_x
_atom_site_fract_y
_atom_site_fract_z
Ta1 Ta 0.000 0.000 0.000
As1 As 0.000 0.500 0.220
P1 P 0.000 0.000 0.492
P2 P 0.000 0.500 0.789


Entry 7:
# Ta2AsP (PBEsol, optimized geometry)
# Calculated density = 10707 kg/m3
# Total energy = -9.23 eV/atom
# Formation energy = -0.23 eV/atom
data_Ta2AsP
_symmetry_space_group_name_H-M 'C m m 2'
_symmetry_Int_Tables_number 35
_cell_length_a 3.441
_cell_length_b 4.598
_cell_length_c 9.171
_cell_angle_alpha 90.00
_cell_angle_beta 90.00
_cell_angle_gamma 90.00
loop_
_symmetry_equiv_pos_as_xyz
'x,y,z'
'-x,-y,z'
'-x,y,z'
'x,-y,z'
'x+1/2,y+1/2,z'
'-x+1/2,-y+1/2,z'
'-x+1/2,y+1/2,z'
'x+1/2,-y+1/2,z'
loop_
_atom_site_label
_atom_site_type_symbol
_atom_site_fract_x
_atom_site_fract_y
_atom_site_fract_z
Ta1 Ta 0.000 0.000 0.000
Ta2 Ta 0.000 0.500 0.247
As1 As 0.000 0.500 0.782
P1 P 0.000 0.000 0.443


Entry 8:
# TaAsP2 (PBEsol, optimized geometry)
# Calculated density = 8222 kg/m3
# Total energy = -7.40 eV/atom
# Formation energy = -0.09 eV/atom
data_TaAsP2
_symmetry_space_group_name_H-M 'R -3 m'
_symmetry_Int_Tables_number 166
_symmetry_space_group_name_Hall '-R 3 2"'
_cell_length_a 3.3233
_cell_length_b 3.3233
_cell_length_c 20.1335
_cell_angle_alpha 90.00
_cell_angle_beta 90.00
_cell_angle_gamma 120.00
loop_
_atom_site_label
_atom_site_type_symbol
_atom_site_fract_x
_atom_site_fract_y
_atom_site_fract_z
Ta1 Ta 0.0000 0.0000 0.0000
As1 As 0.0000 0.0000 0.5000
P1 P 0.0000 0.0000 0.2494


Entry 9:
# TaAsP2 (PBEsol, optimized geometry)
# Calculated density = 8443 kg/m3
# Total energy = -7.53 eV/atom
# Formation energy = -0.22 eV/atom
data_TaAsP2
_symmetry_space_group_name_H-M 'P 4/m m m'
_symmetry_Int_Tables_number 123
_symmetry_space_group_name_Hall '-P 4 2'
_cell_length_a 3.203
_cell_length_b 3.203
_cell_length_c 6.093
_cell_angle_alpha 90.00
_cell_angle_beta 90.00
_cell_angle_gamma 90.00
loop_
_atom_site_label
_atom_site_type_symbol
_atom_site_fract_x
_atom_site_fract_y
_atom_site_fract_z
Ta1 Ta 0.000 0.000 0.000
As1 As 0.000 0.000 0.500
P1 P 0.500 0.500 0.208


Entry 10:
# TaAsP2 (PBEsol, optimized geometry)
# Calculated density = 8086 kg/m3
# Total energy = -7.20 eV/atom
# Formation energy = 0.11 eV/atom
data_TaAsP2
_symmetry_space_group_name_H-M 'C 1 2/m 1'
_symmetry_Int_Tables_number 12
_cell_length_a 5.255
_cell_length_b 7.677
_cell_length_c 3.650
_cell_angle_alpha 90.00
_cell_angle_beta 117.57
_cell_angle_gamma 90.00
loop_
_symmetry_equiv_pos_as_xyz
'x,y,z'
'-x,-y,-z'
'-x,y,-z'
'x,-y,z'
'x+1/2,y+1/2,z'
'-x+1/2,-y+1/2,-z'
'-x+1/2,y+1/2,-z'
'x+1/2,-y+1/2,z'
loop_
_atom_site_label
_atom_site_type_symbol
_atom_site_fract_x
_atom_site_fract_y
_atom_site_fract_z
Ta1 Ta 0.000 0.000 0.000
As1 As 0.000 0.500 0.000
P1 P 0.250 0.250 0.500


Entry 11:
# TaAsP2 (PBEsol, optimized geometry)
# Calculated density = 8610 kg/m3
# Total energy = -7.15 eV/atom
# Formation energy = 0.16 eV/atom
data_TaAsP2
_symmetry_space_group_name_H-M 'I -4 m 2'
_symmetry_Int_Tables_number 119
_symmetry_space_group_name_Hall 'I -4 -2'
_cell_length_a 3.747
_cell_length_b 3.747
_cell_length_c 8.731
_cell_angle_alpha 90.00
_cell_angle_beta 90.00
_cell_angle_gamma 90.00
loop_
_atom_site_label
_atom_site_type_symbol
_atom_site_fract_x
_atom_site_fract_y
_atom_site_fract_z
Ta1 Ta 0.000 0.000 0.000
As1 As 0.000 0.500 0.250
P1 P 0.000 0.000 0.500
P2 P 0.000 0.500 0.750


Entry 12:
# TaTeAs2P (PBEsol, optimized geometry)
# Calculated density = 6893 kg/m3
# Total energy = -6.01 eV/atom
# Formation energy from raw total energies = 39 kJ per mole of atoms
data_TaTeAs2P
_symmetry_space_group_name_H-M 'P 4/m m m'
_symmetry_Int_Tables_number 123
_symmetry_space_group_name_Hall '-P 4 2'
_cell_length_a 5.000
_cell_length_b 5.000
_cell_length_c 4.715
_cell_angle_alpha 90.00
_cell_angle_beta 90.00
_cell_angle_gamma 90.00
loop_
_atom_site_label
_atom_site_type_symbol
_atom_site_fract_x
_atom_site_fract_y
_atom_site_fract_z
Ta1 Ta 0.000 0.000 0.000
Te1 Te 0.500 0.500 0.500
As1 As 0.000 0.500 0.000
P1 P 0.000 0.000 0.500


Entry 13:
# Ta2TiAsP (PBEsol, optimized geometry)
# Calculated density = 8570 kg/m3
# Total energy = -7.90 eV/atom
# Formation energy = 0.96 eV/atom
data_Ta2TiAsP
_symmetry_space_group_name_H-M 'P 4/m m m'
_symmetry_Int_Tables_number 123
_symmetry_space_group_name_Hall '-P 4 2'
_cell_length_a 4.703
_cell_length_b 4.703
_cell_length_c 4.516
_cell_angle_alpha 90.00
_cell_angle_beta 90.00
_cell_angle_gamma 90.00
loop_
_atom_site_label
_atom_site_type_symbol
_atom_site_fract_x
_atom_site_fract_y
_atom_site_fract_z
Ta1 Ta 0.000 0.500 0.000
Ti1 Ti 0.000 0.000 0.500
As1 As 0.000 0.000 0.000
P1 P 0.500 0.500 0.500


Entry 14:
# TcAsP (PBEsol, optimized geometry)
# Calculated density = 7540 kg/m3
# Total energy = -7.31 eV/atom
# Formation energy = 0.08 eV/atom
data_TcAsP
_symmetry_space_group_name_H-M 'P -6 m 2'
_symmetry_Int_Tables_number 187
_symmetry_space_group_name_Hall 'P -6 2'
_cell_length_a 4.0876
_cell_length_b 4.0876
_cell_length_c 3.1034
_cell_angle_alpha 90.00
_cell_angle_beta 90.00
_cell_angle_gamma 120.00
loop_
_atom_site_label
_atom_site_type_symbol
_atom_site_fract_x
_atom_site_fract_y
_atom_site_fract_z
Tc1 Tc 0.0000 0.0000 0.0000
As1 As 0.3333 0.6667 0.5000
P1 P 0.6667 0.3333 0.0000


Entry 15:
# TcAsP2 (PBEsol, optimized geometry)
# Calculated density = 6738 kg/m3
# Total energy = -6.64 eV/atom
# Formation energy = 0.35 eV/atom
data_TcAsP2
_symmetry_space_group_name_H-M 'I m m m'
_symmetry_Int_Tables_number 71
_symmetry_space_group_name_Hall '-I 2 2'
_cell_length_a 3.251
_cell_length_b 4.741
_cell_length_c 7.510
_cell_angle_alpha 90.00
_cell_angle_beta 90.00
_cell_angle_gamma 90.00
loop_
_atom_site_label
_atom_site_type_symbol
_atom_site_fract_x
_atom_site_fract_y
_atom_site_fract_z
Tc1 Tc 0.000 0.000 0.000
As1 As 0.000 0.000 0.500
P1 P 0.000 0.500 0.245